Record 1
The following is a DFT calculation (PBE) of a relaxed MoRuPt2 crystal.

a b c (Å): 2.747 3.947 5.591
angles (deg): 90.00 90.00 90.00
Fractional positions:
Mo (0.500, 0.500, 0.740)
Pt (0.000, 0.000, 0.995)
Pt (0.500, 0.500, 0.257)
Ru (0.000, 0.000, 0.507)

Calculated values
- Symmetry: Pmm2 (25)
- Energy above the most stable polymorph in this dataset: 30.1 meV/atom
- Energy of formation from the pure elements: -0.16 eV per atom



Record 2
The following is a DFT calculation (PBE) of a relaxed Tb2Pm3TmS6 crystal.

a b c (Å): 6.849 6.849 6.916
angles (deg): 99.48 99.48 120.18
Fractional positions:
Tb (0.333, 0.667, 0.000)
Tb (0.667, 0.333, 0.000)
Pm (0.169, 0.831, 0.500)
Pm (0.831, 0.169, 0.500)
Pm (0.500, 0.500, 0.500)
Tm (0.000, 0.000, 0.000)
S (0.921, 0.593, 0.764)
S (0.751, 0.751, 0.238)
S (0.079, 0.407, 0.236)
S (0.593, 0.921, 0.764)
S (0.249, 0.249, 0.762)
S (0.407, 0.079, 0.236)

Calculated values
- Symmetry: C2/m (12)
- Formation energy without anion corrections: -2.02 eV/atom